Mn4AlPb | PBE-GGA | relaxed

Cell lengths 4.940, 4.940, 4.940 Å; angles 60.00, 60.00, 60.00 degrees
Each line ends with the local moment (μB).
Fractional positions:
Mn  0.878  0.374  0.374  1.50
Mn  0.374  0.374  0.878  1.50
Al  0.000  0.000  0.000  -0.06
Mn  0.374  0.374  0.374  1.50
Pb  0.750  0.750  0.750  -0.06
Mn  0.374  0.878  0.374  1.50

Summary:
- Crystal system: cubic
- Density: 8845 kg/m³
- Uncorrected energy: -6.99 eV per atom
- DFT formation energy: 0.3685 eV/atom